CaZn2Mo, optimized geometry, DFT GGA-PBEsol; energy relative to the lowest polymorph listed for this composition = 64 meV/atom
1.0
4.626 0.000 0.000
-2.313 4.021 0.036
0.000 2.627 3.807
Ca Zn Mo
1 2 1
direct
0.500 0.000 0.500 Ca
0.250 0.500 0.250 Zn
0.750 0.500 0.750 Zn
0.000 0.000 0.000 Mo